Crystalline Zr3SCl at its relaxed geometry, computed with PBEsol.

Results
The crystal system is cubic. The value obtained for the total moment is 0.0 μB per formula unit. The value obtained for the uncorrected formation energy is -192 meV/atom. For the total energy, the calculation gives -6.92 eV per atom.

POSCAR file:
```
Zr3SCl
1.0
4.804 0.000 0.000
0.000 4.804 0.000
0.000 0.000 4.804
Zr S Cl
3 1 1
Direct
0.000 0.000 0.500 Zr
0.000 0.500 0.000 Zr
0.500 0.000 0.000 Zr
0.000 0.000 0.000 S
0.500 0.500 0.500 Cl
```

=====

Crystalline KPtN2F at its relaxed geometry, computed with PBEsol.

Results
The crystal system is tetragonal. The value obtained for the total moment is 6.0 μB per formula unit. The value obtained for the uncorrected formation energy is 2273 meV/atom. For the total energy, the calculation gives -3.14 eV per atom.

POSCAR file:
```
KPtN2F
1.0
4.853 0.000 0.000
0.000 4.853 0.000
0.000 0.000 4.497
K Pt N F
1 1 2 1
Direct
0.000 0.000 0.000 K
0.500 0.500 0.500 Pt
0.000 0.500 0.000 N
0.500 0.000 0.000 N
0.000 0.000 0.500 F
```

=====

Crystalline Li3Ta at its relaxed geometry, computed with PBEsol.

Results
The crystal system is orthorhombic. The value obtained for the energy of formation from the pure elements is 2.0 eV/f.u. The value obtained for the total moment is 0.0 μB per formula unit. For the distance to the lowest polymorph of the same formula, the calculation gives 0.07 eV/f.u. For the total energy, the calculation gives -4.12 eV per atom.

POSCAR file:
```
Li3Ta
1.0
2.959 -4.533 0.000
2.959 4.533 0.000
0.000 0.000 2.548
Li Ta
3 1
Direct
0.000 0.000 0.000 Li
0.000 0.500 0.500 Li
0.500 0.000 0.500 Li
0.500 0.500 0.000 Ta
```